<i>
Material: LaMgIn4
Method: DFT, PBE
State: relaxed

a b c (Å): 4.835 5.021 7.034
angles (deg): 90.00 110.10 90.00
Atoms (fractional coordinates):
La (0.500, 0.500, 0.000)
Mg (0.000, 0.000, 0.000)
In (0.177, 0.500, 0.354)
In (0.823, 0.500, 0.646)
In (0.666, 0.000, 0.331)
In (0.334, 0.000, 0.669)



<ii>
Material: LaMgIn4
Method: DFT, PBE
State: relaxed

a b c (Å): 4.676 4.676 8.432
angles (deg): 90.00 90.00 90.00
Atoms (fractional coordinates):
In (0.000, 0.500, 0.287)
La (0.000, 0.000, 0.000)
Mg (0.500, 0.500, 0.500)
In (0.500, 0.000, 0.287)
In (0.000, 0.500, 0.713)
In (0.500, 0.000, 0.713)



<iii>
Material: LaMgIn4
Method: DFT, PBE
State: relaxed

a b c (Å): 6.151 6.151 6.151
angles (deg): 60.00 60.00 60.00
Atoms (fractional coordinates):
In (0.124, 0.625, 0.625)
In (0.625, 0.625, 0.625)
In (0.625, 0.124, 0.625)
La (0.250, 0.250, 0.250)
In (0.625, 0.625, 0.124)
Mg (0.000, 0.000, 0.000)



Q: Which of them is the most stable? A: <i>.